Compound: MgMnVP2H2O10
Source: Alexandria
Functional: GGA+U
Structure: optimized geometry

Calculated values
E_tot (eV per cell): -113.386
Density (Mg/m³): 2.8
Magnetic moment (μB/f.u.): 3.98

a = 5.538 Å, b = 6.406 Å, c = 7.087 Å
α = 63.67°, β = 72.47°, γ = 87.17°
Space group P-1 (No. 2)
Unique sites:
Mg (0.000, 0.000, 0.000) [1 per cell]
Mn (0.000, 0.500, 0.000) [1 per cell]
V (0.000, 0.500, 0.500) [1 per cell]
P (0.474, 0.639, 0.055) [2 per cell]
H (0.112, 0.800, 0.610) [2 per cell]
O (0.040, 0.218, 0.682) [2 per cell]
O (0.105, 0.629, 0.679) [2 per cell]
O (0.244, 0.254, 0.020) [2 per cell]
O (0.298, 0.796, 0.931) [2 per cell]
O (0.362, 0.532, 0.308) [2 per cell]